Entry from Alexandria: a geometry-optimized LaHN3 structure (PBE).

a = 4.823 Å, b = 4.823 Å, c = 4.823 Å
α = 90.00°, β = 90.00°, γ = 90.00°
Site moments in Bohr magnetons follow the coordinates.
Fractional coordinates of all 5 atoms:
H 0.500 0.500 0.500  0.37
N 0.000 0.500 0.000  1.29
N 0.000 0.000 0.500  1.57
N 0.500 0.000 0.000  1.04
La 0.000 0.000 0.000  0.21

Summary:
total magnetic moment: 7.0 μB per formula unit
SG: Pm-3m, No. 221
energy: -4.67 eV/atom

Entry from Alexandria: a geometry-optimized Ac2ErRuO6 structure (PBE).

a = 5.788 Å, b = 6.073 Å, c = 8.349 Å
α = 90.00°, β = 90.00°, γ = 90.00°
Site moments in Bohr magnetons follow the coordinates.
Fractional coordinates of all 20 atoms:
Ac 0.500 0.784 0.230  0.00
Ac 0.000 0.216 0.730  0.00
Ac 0.500 0.784 0.770  0.00
Ac 0.000 0.216 0.270  0.00
Er 0.000 0.722 0.500  -0.02
Er 0.500 0.278 0.000  -0.02
Ru 0.500 0.229 0.500  0.79
Ru 0.000 0.771 0.000  0.79
O 0.500 0.216 0.256  0.03
O 0.500 0.216 0.744  0.03
O 0.000 0.784 0.244  0.03
O 0.000 0.784 0.756  0.03
O 0.251 0.993 0.500  0.03
O 0.749 0.993 0.500  0.03
O 0.246 0.458 0.500  0.03
O 0.754 0.458 0.500  0.03
O 0.746 0.542 0.000  0.03
O 0.254 0.542 0.000  0.03
O 0.249 0.007 0.000  0.03
O 0.751 0.007 0.000  0.03

Summary:
formation energy (no corrections): -2569 kJ/mol of formula units
total magnetic moment: 1.0 μB per formula unit
SG: Pmmn, No. 59

Entry from Alexandria: a geometry-optimized LiSb2W structure (PBE).

a = 4.863 Å, b = 4.863 Å, c = 4.863 Å
α = 60.00°, β = 60.00°, γ = 60.00°
Site moments in Bohr magnetons follow the coordinates.
Fractional coordinates of all 4 atoms:
Li 0.500 0.500 0.500  0.01
Sb 0.000 0.000 0.000  -0.03
Sb 0.250 0.250 0.250  -0.01
W 0.750 0.750 0.750  0.70

Summary:
excess energy over the best structure of this formula in the dataset: 2.79 eV per formula unit
formation energy (no corrections): 302 kJ/mol of formula units
total magnetic moment: 0.9 μB per formula unit
SG: F-43m, No. 216

Entry from Alexandria: a geometry-optimized SrIn2CuAg structure (PBE).

a = 5.047 Å, b = 5.047 Å, c = 5.124 Å
α = 90.00°, β = 90.00°, γ = 90.00°
Fractional coordinates of all 5 atoms:
Sr 0.500 0.500 0.500
Cu 0.000 0.000 0.000
Ag 0.000 0.000 0.500
In 0.000 0.500 0.000
In 0.500 0.000 0.000

Summary:
total magnetic moment: 0.0 μB per formula unit
SG: P4/mmm, No. 123
energy relative to the elements: -0.08 eV/atom

Entry from Alexandria: a geometry-optimized Ta2PtS2 structure (PBE).

a = 3.950 Å, b = 3.950 Å, c = 6.319 Å
α = 71.79°, β = 71.79°, γ = 90.00°
Fractional coordinates of all 5 atoms:
S 0.750 0.250 0.500
S 0.250 0.750 0.500
Pt 0.000 0.000 0.000
Ta 0.381 0.381 0.238
Ta 0.619 0.619 0.762

Summary:
excess energy over the best structure of this formula in the dataset: 0.80 eV per formula unit
formation energy (no corrections): -104 kJ/mol of formula units
total magnetic moment: 0.0 μB per formula unit
SG: I4/mmm, No. 139

Entry from Alexandria: a geometry-optimized CePmRu structure (PBE).

a = 4.987 Å, b = 4.326 Å, c = 4.326 Å
α = 120.00°, β = 90.00°, γ = 90.00°
Fractional coordinates of all 3 atoms:
Ru 0.166 0.667 0.333
Ce 0.167 0.000 0.000
Pm 0.667 0.333 0.667

Summary:
excess energy over the best structure of this formula in the dataset: 0.26 eV per formula unit
total magnetic moment: 0.0 μB per formula unit
SG: P3m1, No. 156
energy relative to the elements: -0.13 eV/atom

Entry from Alexandria: a geometry-optimized Ca2Sc2Sb structure (PBE).

a = 7.630 Å, b = 7.630 Å, c = 5.259 Å
α = 90.00°, β = 90.00°, γ = 90.00°
Fractional coordinates of all 10 atoms:
Sc 0.352 0.852 0.000
Sc 0.852 0.648 0.000
Sc 0.648 0.148 0.000
Sc 0.148 0.352 0.000
Sb 0.000 0.000 0.000
Sb 0.500 0.500 0.000
Ca 0.162 0.662 0.500
Ca 0.662 0.838 0.500
Ca 0.838 0.338 0.500
Ca 0.338 0.162 0.500

Summary:
formation energy (no corrections): -100 kJ/mol of formula units
total magnetic moment: 0.0 μB per formula unit
SG: P4/mbm, No. 127

Entry from Alexandria: a geometry-optimized DyIn2Ni structure (PBE).

a = 3.316 Å, b = 3.316 Å, c = 7.556 Å
α = 90.00°, β = 90.00°, γ = 90.00°
Site moments in Bohr magnetons follow the coordinates.
Fractional coordinates of all 4 atoms:
Ni 0.500 0.500 0.000  0.01
In 0.000 0.000 0.801  0.00
In 0.000 0.000 0.199  0.00
Dy 0.500 0.500 0.500  0.28

Summary:
total magnetic moment: 0.4 μB per formula unit
SG: P4/mmm, No. 123
energy relative to the elements: -0.25 eV/atom

Entry from Alexandria: a geometry-optimized Tm4PuPbS8 structure (PBE).

a = 8.035 Å, b = 8.035 Å, c = 8.185 Å
α = 60.61°, β = 60.61°, γ = 60.00°
Site moments in Bohr magnetons follow the coordinates.
Fractional coordinates of all 14 atoms:
Tm 0.625 0.625 0.124  0.08
Tm 0.002 0.496 0.501  0.07
Tm 0.496 0.002 0.501  0.07
Tm 0.002 0.002 0.501  0.07
Pu 0.001 0.001 0.997  5.38
Pb 0.375 0.375 0.876  0.03
S 0.243 0.791 0.724  -0.02
S 0.791 0.243 0.724  -0.02
S 0.243 0.243 0.724  -0.02
S 0.234 0.234 0.298  0.00
S 0.751 0.230 0.267  -0.02
S 0.230 0.751 0.267  -0.02
S 0.751 0.751 0.267  -0.02
S 0.757 0.757 0.728  0.00

Summary:
formation energy (no corrections): -2295 kJ/mol of formula units
total magnetic moment: 6.0 μB per formula unit
SG: R3m, No. 160

Entry from Alexandria: a geometry-optimized MnNbMoRu structure (PBE).

a = 4.412 Å, b = 4.412 Å, c = 4.412 Å
α = 60.00°, β = 60.00°, γ = 60.00°
Site moments in Bohr magnetons follow the coordinates.
Fractional coordinates of all 4 atoms:
Ru 0.000 0.000 0.000  0.18
Mo 0.500 0.500 0.500  -0.70
Mn 0.750 0.750 0.750  2.85
Nb 0.250 0.250 0.250  0.00

Summary:
total magnetic moment: 2.4 μB per formula unit
SG: F-43m, No. 216
energy relative to the elements: -0.04 eV/atom

Entry from Alexandria: a geometry-optimized ErSc2Zn9 structure (PBE).

a = 5.301 Å, b = 5.301 Å, c = 8.923 Å
α = 72.72°, β = 72.72°, γ = 60.00°
Fractional coordinates of all 12 atoms:
Er 0.000 0.000 0.000
Sc 0.858 0.858 0.426
Sc 0.142 0.142 0.574
Zn 0.665 0.665 0.005
Zn 0.335 0.335 0.995
Zn 0.500 0.500 0.500
Zn 0.411 0.411 0.255
Zn 0.923 0.411 0.255
Zn 0.411 0.923 0.255
Zn 0.589 0.589 0.745
Zn 0.589 0.077 0.745
Zn 0.077 0.589 0.745

Summary:
total magnetic moment: 0.0 μB per formula unit
SG: R-3m, No. 166
energy relative to the elements: -0.31 eV/atom

Entry from Alexandria: a geometry-optimized K2ZrRu structure (PBE).

a = 2.930 Å, b = 2.930 Å, c = 12.439 Å
α = 90.00°, β = 90.00°, γ = 90.00°
Site moments in Bohr magnetons follow the coordinates.
Fractional coordinates of all 4 atoms:
K 0.000 0.000 0.037  -0.01
K 0.000 0.000 0.463  -0.01
Ru 0.500 0.500 0.250  1.30
Zr 0.500 0.500 0.750  0.03

Summary:
excess energy over the best structure of this formula in the dataset: 3.51 eV per formula unit
total magnetic moment: 1.4 μB per formula unit
SG: P4/mmm, No. 123
energy relative to the elements: 1.18 eV/atom

Entry from Alexandria: a geometry-optimized SrIO2F structure (PBE).

a = 4.051 Å, b = 6.336 Å, c = 4.051 Å
α = 90.00°, β = 90.00°, γ = 90.00°
Fractional coordinates of all 5 atoms:
I 0.000 0.000 0.000
Sr 0.000 0.500 0.000
O 0.000 0.000 0.500
O 0.500 0.000 0.000
F 0.500 0.500 0.500

Summary:
formation energy (no corrections): -598 kJ/mol of formula units
total magnetic moment: 0.0 μB per formula unit
SG: P4/mmm, No. 123

Entry from Alexandria: a geometry-optimized SrTlCd2 structure (PBE).

a = 5.799 Å, b = 6.636 Å, c = 3.680 Å
α = 75.63°, β = 86.18°, γ = 114.74°
Fractional coordinates of all 4 atoms:
Cd 0.000 0.000 0.000
Cd 0.500 0.000 0.500
Sr 0.000 0.500 0.500
Tl 0.500 0.500 0.000

Summary:
total magnetic moment: 0.0 μB per formula unit
SG: C2/m, No. 12
energy relative to the elements: -0.09 eV/atom

Entry from Alexandria: a geometry-optimized Al2ZnCuTe4 structure (PBE).

a = 6.380 Å, b = 6.380 Å, c = 7.221 Å
α = 113.49°, β = 113.49°, γ = 95.60°
Fractional coordinates of all 8 atoms:
Al 0.760 0.260 0.521
Al 0.260 0.760 0.521
Zn 0.002 0.002 0.004
Cu 0.504 0.504 0.009
Te 0.615 0.615 0.742
Te 0.370 0.861 0.231
Te 0.861 0.370 0.231
Te 0.127 0.127 0.742

Summary:
formation energy (no corrections): -204 kJ/mol of formula units
total magnetic moment: 0.0 μB per formula unit
SG: Fmm2, No. 42

Entry from Alexandria: a geometry-optimized TaSi3S structure (PBE).

a = 4.414 Å, b = 4.414 Å, c = 4.414 Å
α = 90.00°, β = 90.00°, γ = 90.00°
Fractional coordinates of all 5 atoms:
S 0.000 0.000 0.000
Si 0.000 0.500 0.000
Si 0.000 0.000 0.500
Si 0.500 0.000 0.000
Ta 0.500 0.500 0.500

Summary:
excess energy over the best structure of this formula in the dataset: 0.00 eV per formula unit
formation energy (no corrections): 464 kJ/mol of formula units
total magnetic moment: 0.0 μB per formula unit
SG: Pm-3m, No. 221

Entry from Alexandria: a geometry-optimized Ce2YSiC structure (PBE).

a = 3.640 Å, b = 7.402 Å, c = 8.377 Å
α = 90.00°, β = 90.00°, γ = 104.23°
Fractional coordinates of all 10 atoms:
Ce 0.154 0.309 0.917
Ce 0.846 0.691 0.083
Ce 0.154 0.309 0.583
Ce 0.846 0.691 0.417
Y 0.458 0.917 0.750
Y 0.542 0.083 0.250
Si 0.790 0.580 0.750
Si 0.210 0.420 0.250
C 0.000 0.000 0.000
C 0.000 0.000 0.500

Summary:
formation energy (no corrections): -83 kJ/mol of formula units
total magnetic moment: 0.0 μB per formula unit
SG: Cmcm, No. 63

Entry from Alexandria: a geometry-optimized BaW4Se structure (PBE).

a = 5.593 Å, b = 5.593 Å, c = 5.593 Å
α = 60.00°, β = 60.00°, γ = 60.00°
Fractional coordinates of all 6 atoms:
Ba 0.750 0.750 0.750
W 0.876 0.375 0.375
W 0.375 0.375 0.876
W 0.375 0.876 0.375
W 0.375 0.375 0.375
Se 0.000 0.000 0.000

Summary:
formation energy (no corrections): 674 kJ/mol of formula units
total magnetic moment: 0.0 μB per formula unit
SG: F-43m, No. 216

Entry from Alexandria: a geometry-optimized Ru2RhW structure (PBE).

a = 4.749 Å, b = 4.749 Å, c = 4.735 Å
α = 80.14°, β = 80.14°, γ = 33.59°
Fractional coordinates of all 4 atoms:
Rh 0.249 0.249 0.254
Ru 0.003 0.003 0.988
Ru 0.748 0.748 0.761
W 0.499 0.499 0.497

Summary:
excess energy over the best structure of this formula in the dataset: 0.46 eV per formula unit
total magnetic moment: 0.0 μB per formula unit
SG: Cm, No. 8
energy relative to the elements: 0.00 eV/atom

Entry from Alexandria: a geometry-optimized PmNd5Tm2Th structure (PBE).

a = 5.692 Å, b = 10.631 Å, c = 10.615 Å
α = 90.00°, β = 90.00°, γ = 105.53°
Fractional coordinates of all 18 atoms:
Pm 0.591 0.181 0.950
Pm 0.409 0.819 0.450
Nd 0.387 0.773 0.027
Nd 0.723 0.445 0.813
Nd 0.478 0.957 0.743
Nd 0.292 0.585 0.703
Nd 0.985 0.970 0.521
Nd 0.613 0.227 0.527
Nd 0.277 0.555 0.313
Nd 0.522 0.043 0.243
Nd 0.708 0.415 0.203
Nd 0.015 0.030 0.021
Tm 0.884 0.767 0.815
Tm 0.112 0.224 0.738
Tm 0.116 0.233 0.315
Tm 0.888 0.776 0.238
Th 0.801 0.603 0.512
Th 0.199 0.397 0.012

Summary:
total magnetic moment: 0.0 μB per formula unit
SG: Cmc2_1, No. 36
energy relative to the elements: 0.16 eV/atom

Entry from Alexandria: a geometry-optimized CrPRu structure (PBE).

a = 6.737 Å, b = 3.960 Å, c = 6.591 Å
α = 90.00°, β = 114.80°, γ = 90.00°
Fractional coordinates of all 12 atoms:
Cr 0.922 0.000 0.175
Cr 0.078 0.000 0.825
Cr 0.922 0.500 0.675
Cr 0.078 0.500 0.325
P 0.753 0.000 0.451
P 0.247 0.000 0.549
P 0.753 0.500 0.951
P 0.247 0.500 0.049
Ru 0.650 0.000 0.746
Ru 0.350 0.000 0.254
Ru 0.650 0.500 0.246
Ru 0.350 0.500 0.754

Summary:
total magnetic moment: 0.0 μB per formula unit
SG: C2/m, No. 12
energy relative to the elements: -0.30 eV/atom

Entry from Alexandria: a geometry-optimized Ac2NdGe4Ir3 structure (PBE).

a = 4.434 Å, b = 4.434 Å, c = 11.294 Å
α = 90.00°, β = 90.00°, γ = 90.00°
Fractional coordinates of all 10 atoms:
Ac 0.500 0.000 0.227
Ac 0.000 0.500 0.773
Nd 0.500 0.500 0.500
Ge 0.500 0.500 0.000
Ge 0.000 0.000 0.000
Ge 0.500 0.000 0.670
Ge 0.000 0.500 0.330
Ir 0.000 0.000 0.500
Ir 0.500 0.000 0.890
Ir 0.000 0.500 0.110

Summary:
total magnetic moment: 0.0 μB per formula unit
SG: P-4m2, No. 115
energy relative to the elements: -0.68 eV/atom

Entry from Alexandria: a geometry-optimized GdSnHg structure (PBE).

a = 3.671 Å, b = 3.671 Å, c = 6.399 Å
α = 106.67°, β = 106.67°, γ = 90.00°
Site moments in Bohr magnetons follow the coordinates.
Fractional coordinates of all 3 atoms:
Gd 0.957 0.957 0.913  7.22
Hg 0.619 0.619 0.238  0.01
Sn 0.275 0.275 0.549  -0.01

Summary:
excess energy over the best structure of this formula in the dataset: 0.30 eV per formula unit
total magnetic moment: 7.5 μB per formula unit
SG: I4mm, No. 107
energy relative to the elements: -0.39 eV/atom

Entry from Alexandria: a geometry-optimized K3Sb3Pt2 structure (PBE).

a = 4.715 Å, b = 6.664 Å, c = 16.911 Å
α = 90.00°, β = 90.00°, γ = 110.72°
Fractional coordinates of all 16 atoms:
K 0.964 0.927 0.390
K 0.036 0.073 0.890
K 0.964 0.927 0.110
K 0.036 0.073 0.610
K 0.641 0.282 0.250
K 0.359 0.718 0.750
Sb 0.686 0.373 0.451
Sb 0.314 0.627 0.951
Sb 0.686 0.373 0.049
Sb 0.314 0.627 0.549
Sb 0.339 0.679 0.250
Sb 0.661 0.321 0.750
Pt 0.741 0.483 0.896
Pt 0.259 0.517 0.396
Pt 0.741 0.483 0.604
Pt 0.259 0.517 0.104

Summary:
excess energy over the best structure of this formula in the dataset: 0.00 eV per formula unit
formation energy (no corrections): -359 kJ/mol of formula units
total magnetic moment: 0.0 μB per formula unit
SG: Cmcm, No. 63

Entry from Alexandria: a geometry-optimized Mn2CrC structure (PBE).

a = 2.686 Å, b = 4.366 Å, c = 6.688 Å
α = 90.00°, β = 90.00°, γ = 107.88°
Fractional coordinates of all 8 atoms:
Mn 0.362 0.725 0.566
Mn 0.638 0.275 0.434
Mn 0.362 0.725 0.934
Mn 0.638 0.275 0.066
Cr 0.920 0.842 0.250
Cr 0.080 0.158 0.750
C 0.764 0.528 0.750
C 0.236 0.472 0.250

Summary:
total magnetic moment: 0.0 μB per formula unit
SG: P2_1/m, No. 11
energy relative to the elements: -0.06 eV/atom